4
Lattice="-0.138 2.889 2.773 1.833 3.501 -0.662 -2.169 3.305 -0.657" Properties=species:S:1:pos:R:3 comment="YTiO2 | the Alexandria database | GGA-PBE | relaxed" formation_energy_uncorrected_ev_per_fu=-8.0 sg=Fm-3m pbc="T T T"
Ti 0.000 0.000 0.000
O -0.355 7.271 1.091
O -0.118 2.424 0.364
Y -0.237 4.848 0.727

***

16
Lattice="-0.904 -0.294 -4.878 -3.219 -3.697 0.819 -14.653 13.182 1.922" Properties=species:S:1:pos:R:3 comment="HoTm12Th3 | the Alexandria database | GGA-PBE | relaxed" formation_enthalpy_0k_ev_per_fu=0.54 sg=P4/mmm pbc="T T T"
Th -7.327 6.591 0.961
Th -10.981 9.878 1.440
Th -3.672 3.304 0.482
Tm -2.061 -1.996 -2.029
Tm -13.266 11.380 -0.758
Tm -14.423 9.678 2.090
Tm -7.105 3.095 1.130
Tm -5.948 4.797 -1.718
Tm -3.449 -0.194 0.651
Tm -2.292 1.508 -2.198
Tm -9.610 8.091 -1.238
Tm -13.058 7.896 -0.587
Tm -9.388 4.595 -1.068
Tm -5.718 1.294 -1.550
Tm -10.767 6.389 1.611
Ho 0.000 0.000 0.000

***

6
Lattice="-1.574 -0.052 3.552 -2.401 -5.180 -1.140 5.618 -0.927 0.351" Properties=species:S:1:pos:R:3 comment="CaBRu | the Alexandria database | GGA-PBE | relaxed" relative_energy_kj_per_mol_atoms=26.31 formation_enthalpy_0k_ev_per_fu=-0.11 sg=C2/m pbc="T T T"
Ru -0.217 -4.723 -0.165
Ru 1.859 -1.436 2.928
Ca 0.315 -1.737 0.114
Ca 1.328 -4.422 2.649
B -1.543 -4.810 1.371
B 3.185 -1.349 1.392

***

8
Lattice="-1.743 -4.411 -1.603 4.507 -1.096 -1.885 3.614 -6.333 5.676" Properties=species:S:1:pos:R:3 comment="BaMnIr2 | the Alexandria database | GGA-PBE | relaxed" relative_energy_kj_per_mol_atoms=30.85 formation_enthalpy_0k_ev_per_fu=1.11 sg=I4_1/amd pbc="T T T"
Ir 3.065 -3.926 -0.361
Ir 0.814 -3.371 0.583
Ir 3.999 -9.294 1.678
Ir 4.876 -7.090 2.477
Mn 1.382 -2.754 -1.744
Mn 4.751 -5.091 1.024
Ba 0.000 0.000 0.000
Ba 1.626 -6.749 1.165

***

4
Lattice="-2.701 0.880 0.339 -0.575 -2.352 1.523 1.554 2.848 4.986" Properties=species:S:1:pos:R:3 comment="Fe2SiSe | the Alexandria database | GGA-PBE | relaxed" relative_energy_kj_per_mol_atoms=7.62 formation_energy_uncorrected_ev_per_fu=0.2 sg=P4/mmm pbc="T T T"
Se -1.250 -0.024 2.177
Fe 1.512 2.773 4.854
Fe 0.818 1.500 2.625
Si -0.473 1.400 4.671